<A>
Material: PrErLu2
Method: DFT, PBE
State: optimized geometry

Properties
DOS(E_F) in states/eV per cell: 6.4

Cell: 4.966 5.017 5.017 Å, 90.00 90.00 90.00°
Atoms (fractional coordinates):
Lu 0.000 0.000 0.500
Er 0.500 0.500 0.500
Lu 0.000 0.500 0.000
Pr 0.500 0.000 0.000

=====

<B>
Material: PrErLu2
Method: DFT, PBE
State: optimized geometry

Properties
DOS(E_F) in states/eV per cell: 5.9

Cell: 4.033 4.033 7.799 Å, 90.00 90.00 90.00°
Atoms (fractional coordinates):
Lu 0.000 0.000 0.237
Er 0.500 0.500 0.000
Lu 0.000 0.000 0.763
Pr 0.500 0.500 0.500

=====

Energies in kJ/mol of atoms, measured from the most stable structure: <A> 0.0; <B> 5.9.

=====

<A>
Material: ErLuPu
Method: DFT, PBE
State: optimized geometry

Properties
DOS(E_F) in states/eV per cell: 9.3

Cell: 3.273 5.507 5.507 Å, 120.00 90.00 90.00°
Atoms (fractional coordinates):
Lu 0.167 0.667 0.333
Er 0.667 0.333 0.667
Pu 0.166 0.000 0.000

=====

<B>
Material: ErLuPu
Method: DFT, PBE
State: optimized geometry

Properties
DOS(E_F) in states/eV per cell: 7.3

Cell: 3.448 3.448 7.704 Å, 102.93 102.93 90.00°
Atoms (fractional coordinates):
Er 0.285 0.285 0.570
Lu 0.614 0.614 0.229
Pu 0.951 0.951 0.901

=====

Energies in kJ/mol of atoms, measured from the most stable structure: <A> 6.2; <B> 0.0.